No. 1
# PBE IrCSCl2, optimized geometry
# Energy relative to the lowest polymorph listed for this composition   0 meV per atom
# Formation energy without anion corrections   1.53 eV/atom
data_IrCSCl2
_chemical_formula_sum 'Ir1 C1 S1 Cl2'
_cell_length_a 4.971
_cell_length_b 4.971
_cell_length_c 4.393
_cell_angle_alpha 90.00
_cell_angle_beta 90.00
_cell_angle_gamma 90.00
_space_group_name_H-M_alt 'P 4/m m m'
_space_group_IT_number 123
_space_group_name_Hall '-P 4 2'
loop_
_atom_site_label
_atom_site_fract_x
_atom_site_fract_y
_atom_site_fract_z
Ir1 0.000 0.000 0.000
C1 0.500 0.500 0.500
S1 0.000 0.000 0.500
Cl1 0.000 0.500 0.000

No. 2
# PBE CaLa2TlCo, optimized geometry
# Energy relative to the lowest polymorph listed for this composition   0 meV per atom
data_CaLa2TlCo
_chemical_formula_sum 'Ca1 La2 Tl1 Co1'
_cell_length_a 5.228
_cell_length_b 5.228
_cell_length_c 5.556
_cell_angle_alpha 90.00
_cell_angle_beta 90.00
_cell_angle_gamma 90.00
_space_group_name_H-M_alt 'P 4/m m m'
_space_group_IT_number 123
_space_group_name_Hall '-P 4 2'
loop_
_atom_site_label
_atom_site_fract_x
_atom_site_fract_y
_atom_site_fract_z
Ca1 0.000 0.000 0.000
La1 0.000 0.500 0.500
Tl1 0.500 0.500 0.000
Co1 0.000 0.000 0.500

No. 3
# PBE GaSbSe3, optimized geometry
# Energy relative to the lowest polymorph listed for this composition   573 meV per atom
# Formation energy without anion corrections   0.25 eV/atom
data_GaSbSe3
_chemical_formula_sum 'Ga1 Sb1 Se3'
_cell_length_a 5.360
_cell_length_b 5.360
_cell_length_c 5.360
_cell_angle_alpha 90.00
_cell_angle_beta 90.00
_cell_angle_gamma 90.00
_space_group_name_H-M_alt 'P m -3 m'
_space_group_IT_number 221
_space_group_name_Hall '-P 4 2 3'
loop_
_atom_site_label
_atom_site_fract_x
_atom_site_fract_y
_atom_site_fract_z
Ga1 0.000 0.000 0.000
Sb1 0.500 0.500 0.500
Se1 0.000 0.500 0.500

No. 4
# PBE SrHoP2S8, optimized geometry
# Formation energy without anion corrections   -0.80 eV/atom
data_SrHoP2S8
_chemical_formula_sum 'Sr1 Ho1 P2 S8'
_cell_length_a 6.0115
_cell_length_b 6.0115
_cell_length_c 9.1247
_cell_angle_alpha 90.00
_cell_angle_beta 90.00
_cell_angle_gamma 120.00
_space_group_name_H-M_alt 'P -3'
_space_group_IT_number 147
loop_
_space_group_symop_operation_xyz
'x,y,z'
'-x,-y,-z'
'-y,x-y,z'
'y,-x+y,-z'
'-x+y,-x,z'
'x-y,x,-z'
loop_
_atom_site_label
_atom_site_fract_x
_atom_site_fract_y
_atom_site_fract_z
Sr1 0.0000 0.0000 0.0000
Ho1 0.0000 0.0000 0.5000
P1 0.3333 0.6667 0.7585
S1 0.0000 0.3424 0.6966
S2 0.3333 0.6667 0.9819

No. 5
This record from the Alexandria database describes crystalline SmTcGe2Os at its relaxed geometry. The functional is PBE.

```
data_SmTcGe2Os
_chemical_formula_sum 'Sm2 Tc2 Ge4 Os2'
_cell_length_a 4.239
_cell_length_b 4.239
_cell_length_c 10.319
_cell_angle_alpha 90.00
_cell_angle_beta 90.00
_cell_angle_gamma 90.00
_space_group_name_H-M_alt 'I -4 m 2'
_space_group_IT_number 119
_space_group_name_Hall 'I -4 -2'
loop_
_atom_site_label
_atom_site_fract_x
_atom_site_fract_y
_atom_site_fract_z
Sm1 0.000 0.000 0.000
Tc1 0.000 0.500 0.250
Ge1 0.000 0.000 0.375
Os1 0.000 0.500 0.750
```

No. 6
# PBE YS2N, optimized geometry
# Formation energy without anion corrections   -0.20 eV/atom
data_YS2N
_chemical_formula_sum 'Y3 S6 N3'
_cell_length_a 4.0923
_cell_length_b 4.0923
_cell_length_c 18.2398
_cell_angle_alpha 90.00
_cell_angle_beta 90.00
_cell_angle_gamma 120.00
_space_group_name_H-M_alt 'R -3 m'
_space_group_IT_number 166
_space_group_name_Hall '-R 3 2"'
loop_
_atom_site_label
_atom_site_fract_x
_atom_site_fract_y
_atom_site_fract_z
Y1 0.0000 0.0000 0.0000
S1 0.0000 0.0000 0.4129
N1 0.0000 0.0000 0.5000

No. 7
# PBE RbV3Bi, optimized geometry
# Energy relative to the lowest polymorph listed for this composition   0 meV per atom
data_RbV3Bi
_chemical_formula_sum 'Rb1 V3 Bi1'
_cell_length_a 5.490
_cell_length_b 5.490
_cell_length_c 5.490
_cell_angle_alpha 90.00
_cell_angle_beta 90.00
_cell_angle_gamma 90.00
_space_group_name_H-M_alt 'P m -3 m'
_space_group_IT_number 221
_space_group_name_Hall '-P 4 2 3'
loop_
_atom_site_label
_atom_site_fract_x
_atom_site_fract_y
_atom_site_fract_z
Rb1 0.000 0.000 0.000
V1 0.000 0.500 0.500
Bi1 0.500 0.500 0.500

No. 8
# PBE PuMg2MnN4, optimized geometry
# Formation energy without anion corrections   -0.61 eV/atom
data_PuMg2MnN4
_chemical_formula_sum 'Pu4 Mg8 Mn4 N16'
_cell_length_a 3.190
_cell_length_b 10.947
_cell_length_c 10.659
_cell_angle_alpha 90.00
_cell_angle_beta 90.00
_cell_angle_gamma 90.00
_space_group_name_H-M_alt 'C m c m'
_space_group_IT_number 63
_space_group_name_Hall '-C 2c 2'
loop_
_atom_site_label
_atom_site_fract_x
_atom_site_fract_y
_atom_site_fract_z
Pu1 0.000 0.084 0.250
Mg1 0.000 0.379 0.038
Mn1 0.000 0.177 0.750
N1 0.000 0.000 0.000
N2 0.000 0.276 0.626
N3 0.000 0.420 0.250

No. 9
This record from the Alexandria database describes crystalline Ac2ZnGe4Ir3 at its relaxed geometry. The functional is PBE.

```
data_Ac2ZnGe4Ir3
_chemical_formula_sum 'Ac2 Zn1 Ge4 Ir3'
_cell_length_a 4.430
_cell_length_b 4.430
_cell_length_c 10.299
_cell_angle_alpha 90.00
_cell_angle_beta 90.00
_cell_angle_gamma 90.00
_space_group_name_H-M_alt 'P -4 m 2'
_space_group_IT_number 115
loop_
_space_group_symop_operation_xyz
'x,y,z'
'y,-x,-z'
'-x,-y,z'
'-y,x,-z'
'-x,y,z'
'-y,-x,-z'
'x,-y,z'
'y,x,-z'
loop_
_atom_site_label
_atom_site_fract_x
_atom_site_fract_y
_atom_site_fract_z
Ac1 0.000 0.500 0.246
Zn1 0.000 0.000 0.500
Ge1 0.000 0.000 0.000
Ge2 0.000 0.500 0.634
Ge3 0.500 0.500 0.000
Ir1 0.000 0.500 0.878
Ir2 0.500 0.500 0.500
```

No. 10
# PBE SiIr2Rh, optimized geometry
# Formation energy without anion corrections   -0.34 eV/atom
data_SiIr2Rh
_chemical_formula_sum 'Si2 Ir4 Rh2'
_cell_length_a 2.815
_cell_length_b 4.322
_cell_length_c 9.288
_cell_angle_alpha 90.00
_cell_angle_beta 90.00
_cell_angle_gamma 90.00
_space_group_name_H-M_alt 'I m m m'
_space_group_IT_number 71
_space_group_name_Hall '-I 2 2'
loop_
_atom_site_label
_atom_site_fract_x
_atom_site_fract_y
_atom_site_fract_z
Si1 0.000 0.000 0.000
Ir1 0.000 0.500 0.291
Rh1 0.000 0.000 0.500

No. 11
This record from the Alexandria database describes crystalline CeGdDyHo at its relaxed geometry. The functional is PBE.

```
data_CeGdDyHo
_chemical_formula_sum 'Ce4 Gd4 Dy4 Ho4'
_cell_length_a 8.007
_cell_length_b 8.007
_cell_length_c 8.007
_cell_angle_alpha 90.00
_cell_angle_beta 90.00
_cell_angle_gamma 90.00
_space_group_name_H-M_alt 'F -4 3 m'
_space_group_IT_number 216
_space_group_name_Hall 'F -4 2 3'
loop_
_atom_site_label
_atom_site_fract_x
_atom_site_fract_y
_atom_site_fract_z
Ce1 0.000 0.000 0.000
Gd1 0.250 0.250 0.250
Dy1 0.250 0.250 0.750
Ho1 0.000 0.000 0.500
```

No. 12
This record from the Alexandria database describes crystalline La3NdCd3 at its relaxed geometry. The functional is PBE.

```
data_La3NdCd3
_chemical_formula_sum 'La12 Nd4 Cd12'
_cell_length_a 11.212
_cell_length_b 11.022
_cell_length_c 7.346
_cell_angle_alpha 90.00
_cell_angle_beta 90.01
_cell_angle_gamma 90.00
_space_group_name_H-M_alt 'C 1 2/m 1'
_space_group_IT_number 12
loop_
_space_group_symop_operation_xyz
'x,y,z'
'-x,-y,-z'
'-x,y,-z'
'x,-y,z'
'x+1/2,y+1/2,z'
'-x+1/2,-y+1/2,-z'
'-x+1/2,y+1/2,-z'
'x+1/2,-y+1/2,z'
loop_
_atom_site_label
_atom_site_fract_x
_atom_site_fract_y
_atom_site_fract_z
La1 0.000 0.235 0.000
La2 0.000 0.237 0.500
La3 0.243 0.000 0.999
Nd1 0.249 0.000 0.500
Cd1 0.000 0.500 0.249
Cd2 0.250 0.250 0.254
```

| no. | energy (eV per atom) |
| --- | --- |
| 1 | -3.649 |
| 2 | -4.460 |
| 3 | -3.267 |
| 4 | -4.977 |
| 5 | -7.512 |
| 6 | -5.963 |
| 7 | -5.031 |
| 8 | -8.114 |
| 9 | -6.103 |
| 10 | -7.961 |
| 11 | -7.131 |
| 12 | -3.367 |